A geometry-optimized Hg2Pt2I structure. Source: Alexandria via LeMat-Bulk, functional PBE-GGA.

Results
E_form (uncorrected)	186	meV/atom
calculated volume	21.28	Å³/atom

The structure in CIF format:
```
data_Hg2Pt2I
_cell_length_a 7.542
_cell_length_b 7.542
_cell_length_c 3.741
_cell_angle_alpha 90.00
_cell_angle_beta 90.00
_cell_angle_gamma 90.00
_space_group_name_H-M_alt 'P 1'
_space_group_IT_number 1
loop_
_space_group_symop_operation_xyz
'x,y,z'
loop_
_atom_site_label
_atom_site_fract_x
_atom_site_fract_y
_atom_site_fract_z
Hg1 0.159 0.341 0.000
Hg2 0.341 0.841 0.000
Hg3 0.659 0.159 0.000
Hg4 0.841 0.659 0.000
Pt1 0.137 0.637 0.500
Pt2 0.363 0.137 0.500
Pt3 0.637 0.863 0.500
Pt4 0.863 0.363 0.500
I1 0.000 0.000 0.500
I2 0.500 0.500 0.500
```

***

A geometry-optimized HgPt3I structure. Source: Alexandria via LeMat-Bulk, functional PBE-GGA.

Results
E_form (uncorrected)	1056	meV/atom
calculated volume	25.16	Å³/atom
excess energy over the best structure of this formula in the dataset	0.0	meV/atom

The structure in CIF format:
```
data_HgPt3I
_cell_length_a 5.011
_cell_length_b 5.011
_cell_length_c 5.011
_cell_angle_alpha 90.00
_cell_angle_beta 90.00
_cell_angle_gamma 90.00
_space_group_name_H-M_alt 'P 1'
_space_group_IT_number 1
loop_
_space_group_symop_operation_xyz
'x,y,z'
loop_
_atom_site_label
_atom_site_fract_x
_atom_site_fract_y
_atom_site_fract_z
Hg1 0.000 0.000 0.000
Pt1 0.000 0.500 0.500
Pt2 0.500 0.000 0.500
Pt3 0.500 0.500 0.000
I1 0.500 0.500 0.500
```

***

A geometry-optimized Hg4PtI2 structure. Source: Alexandria via LeMat-Bulk, functional PBE-GGA.

Results
E_form (uncorrected)	-133	meV/atom
calculated volume	33.99	Å³/atom

The structure in CIF format:
```
data_Hg4PtI2
_cell_length_a 5.353
_cell_length_b 5.353
_cell_length_c 16.609
_cell_angle_alpha 90.00
_cell_angle_beta 90.00
_cell_angle_gamma 90.00
_space_group_name_H-M_alt 'P 1'
_space_group_IT_number 1
loop_
_space_group_symop_operation_xyz
'x,y,z'
loop_
_atom_site_label
_atom_site_fract_x
_atom_site_fract_y
_atom_site_fract_z
Hg1 0.000 0.000 0.159
Hg2 0.000 0.000 0.841
Hg3 0.000 0.500 0.000
Hg4 0.000 0.500 0.500
Hg5 0.500 0.000 0.000
Hg6 0.500 0.000 0.500
Hg7 0.500 0.500 0.341
Hg8 0.500 0.500 0.659
Pt1 0.000 0.000 0.000
Pt2 0.500 0.500 0.500
I1 0.000 0.000 0.328
I2 0.000 0.000 0.672
I3 0.500 0.500 0.172
I4 0.500 0.500 0.828
```

***

A geometry-optimized HgPtI6 structure. Source: Alexandria via LeMat-Bulk, functional PBE-GGA.

Results
E_form (uncorrected)	-51	meV/atom
calculated volume	54.18	Å³/atom
excess energy over the best structure of this formula in the dataset	24.8	meV/atom

The structure in CIF format:
```
data_HgPtI6
_cell_length_a 13.021
_cell_length_b 12.649
_cell_length_c 5.788
_cell_angle_alpha 90.00
_cell_angle_beta 114.60
_cell_angle_gamma 90.00
_space_group_name_H-M_alt 'P 1'
_space_group_IT_number 1
loop_
_space_group_symop_operation_xyz
'x,y,z'
loop_
_atom_site_label
_atom_site_fract_x
_atom_site_fract_y
_atom_site_fract_z
Hg1 0.000 0.000 0.000
Hg2 0.500 0.500 0.000
Pt1 0.000 0.000 0.500
Pt2 0.500 0.500 0.500
I1 0.105 0.500 0.695
I2 0.127 0.149 0.814
I3 0.127 0.851 0.814
I4 0.373 0.351 0.186
I5 0.373 0.649 0.186
I6 0.395 0.000 0.305
I7 0.605 0.000 0.695
I8 0.627 0.351 0.814
I9 0.627 0.649 0.814
I10 0.873 0.149 0.186
I11 0.873 0.851 0.186
I12 0.895 0.500 0.305
```

***

A geometry-optimized Hg2PtI6 structure. Source: Alexandria via LeMat-Bulk, functional PBE-GGA.

Results
E_form (uncorrected)	-156	meV/atom
calculated volume	44.31	Å³/atom
excess energy over the best structure of this formula in the dataset	29.8	meV/atom

The structure in CIF format:
```
data_Hg2PtI6
_cell_length_a 11.228
_cell_length_b 11.228
_cell_length_c 6.849
_cell_angle_alpha 105.95
_cell_angle_beta 105.95
_cell_angle_gamma 87.61
_space_group_name_H-M_alt 'P 1'
_space_group_IT_number 1
loop_
_space_group_symop_operation_xyz
'x,y,z'
loop_
_atom_site_label
_atom_site_fract_x
_atom_site_fract_y
_atom_site_fract_z
Hg1 0.067 0.843 0.875
Hg2 0.157 0.933 0.625
Hg3 0.843 0.067 0.375
Hg4 0.933 0.157 0.125
Pt1 0.437 0.563 0.750
Pt2 0.563 0.437 0.250
I1 0.040 0.254 0.888
I2 0.206 0.577 0.510
I3 0.254 0.040 0.388
I4 0.338 0.460 0.982
I5 0.423 0.794 0.990
I6 0.460 0.338 0.482
I7 0.540 0.662 0.518
I8 0.577 0.206 0.010
I9 0.662 0.540 0.018
I10 0.746 0.960 0.612
I11 0.794 0.423 0.490
I12 0.960 0.746 0.112
```

***

A geometry-optimized Hg2PtI6 structure. Source: Alexandria via LeMat-Bulk, functional PBE-GGA.

Results
E_form (uncorrected)	-186	meV/atom
calculated volume	40.94	Å³/atom
excess energy over the best structure of this formula in the dataset	0.0	meV/atom

The structure in CIF format:
```
data_Hg2PtI6
_cell_length_a 9.191
_cell_length_b 9.191
_cell_length_c 8.777
_cell_angle_alpha 90.71
_cell_angle_beta 90.71
_cell_angle_gamma 83.84
_space_group_name_H-M_alt 'P 1'
_space_group_IT_number 1
loop_
_space_group_symop_operation_xyz
'x,y,z'
loop_
_atom_site_label
_atom_site_fract_x
_atom_site_fract_y
_atom_site_fract_z
Hg1 0.117 0.250 0.208
Hg2 0.250 0.117 0.708
Hg3 0.750 0.883 0.292
Hg4 0.883 0.750 0.792
Pt1 0.405 0.595 0.750
Pt2 0.595 0.405 0.250
I1 0.011 0.217 0.897
I2 0.141 0.618 0.626
I3 0.217 0.011 0.397
I4 0.327 0.452 0.137
I5 0.382 0.859 0.874
I6 0.452 0.327 0.637
I7 0.548 0.673 0.363
I8 0.618 0.141 0.126
I9 0.673 0.548 0.863
I10 0.783 0.989 0.603
I11 0.859 0.382 0.374
I12 0.989 0.783 0.103
```

***

A geometry-optimized Hg3Pt5I12 structure. Source: Alexandria via LeMat-Bulk, functional PBE-GGA.

Results
E_form (uncorrected)	45	meV/atom
calculated volume	36.12	Å³/atom

The structure in CIF format:
```
data_Hg3Pt5I12
_cell_length_a 15.541
_cell_length_b 15.541
_cell_length_c 15.541
_cell_angle_alpha 109.47
_cell_angle_beta 109.47
_cell_angle_gamma 109.47
_space_group_name_H-M_alt 'P 1'
_space_group_IT_number 1
loop_
_space_group_symop_operation_xyz
'x,y,z'
loop_
_atom_site_label
_atom_site_fract_x
_atom_site_fract_y
_atom_site_fract_z
Hg1 0.125 0.250 0.375
Hg2 0.125 0.375 0.750
Hg3 0.250 0.375 0.125
Hg4 0.250 0.875 0.625
Hg5 0.375 0.125 0.250
Hg6 0.375 0.750 0.125
Hg7 0.625 0.250 0.875
Hg8 0.625 0.875 0.750
Hg9 0.750 0.125 0.375
Hg10 0.750 0.625 0.875
Hg11 0.875 0.625 0.250
Hg12 0.875 0.750 0.625
Pt1 0.000 0.000 0.000
Pt2 0.000 0.000 0.500
Pt3 0.000 0.500 0.000
Pt4 0.000 0.500 0.500
Pt5 0.125 0.750 0.875
Pt6 0.125 0.875 0.250
Pt7 0.250 0.125 0.875
Pt8 0.250 0.625 0.375
Pt9 0.375 0.250 0.625
Pt10 0.375 0.625 0.750
Pt11 0.500 0.000 0.000
Pt12 0.500 0.000 0.500
Pt13 0.500 0.500 0.000
Pt14 0.500 0.500 0.500
Pt15 0.625 0.375 0.250
Pt16 0.625 0.750 0.375
Pt17 0.750 0.375 0.625
Pt18 0.750 0.875 0.125
Pt19 0.875 0.125 0.750
Pt20 0.875 0.250 0.125
I1 0.010 0.180 0.132
I2 0.010 0.329 0.878
I3 0.048 0.680 0.671
I4 0.048 0.868 0.378
I5 0.122 0.632 0.452
I6 0.122 0.990 0.671
I7 0.132 0.010 0.180
I8 0.132 0.622 0.952
I9 0.171 0.180 0.548
I10 0.171 0.490 0.622
I11 0.180 0.132 0.010
I12 0.180 0.548 0.171
I13 0.320 0.329 0.952
I14 0.320 0.490 0.368
I15 0.329 0.878 0.010
I16 0.329 0.952 0.320
I17 0.368 0.320 0.490
I18 0.368 0.548 0.878
I19 0.378 0.048 0.868
I20 0.378 0.829 0.510
I21 0.452 0.122 0.632
I22 0.452 0.829 0.820
I23 0.490 0.368 0.320
I24 0.490 0.622 0.171
I25 0.510 0.378 0.829
I26 0.510 0.632 0.680
I27 0.548 0.171 0.180
I28 0.548 0.878 0.368
I29 0.622 0.171 0.490
I30 0.622 0.952 0.132
I31 0.632 0.452 0.122
I32 0.632 0.680 0.510
I33 0.671 0.048 0.680
I34 0.671 0.122 0.990
I35 0.680 0.510 0.632
I36 0.680 0.671 0.048
I37 0.820 0.452 0.829
I38 0.820 0.868 0.990
I39 0.829 0.510 0.378
I40 0.829 0.820 0.452
I41 0.868 0.378 0.048
I42 0.868 0.990 0.820
I43 0.878 0.010 0.329
I44 0.878 0.368 0.548
I45 0.952 0.132 0.622
I46 0.952 0.320 0.329
I47 0.990 0.671 0.122
I48 0.990 0.820 0.868
```

***

A geometry-optimized HgPtI4 structure. Source: Alexandria via LeMat-Bulk, functional PBE-GGA.

Results
E_form (uncorrected)	-135	meV/atom
calculated volume	44.73	Å³/atom

The structure in CIF format:
```
data_HgPtI4
_cell_length_a 15.351
_cell_length_b 4.017
_cell_length_c 9.482
_cell_angle_alpha 90.00
_cell_angle_beta 113.40
_cell_angle_gamma 90.00
_space_group_name_H-M_alt 'P 1'
_space_group_IT_number 1
loop_
_space_group_symop_operation_xyz
'x,y,z'
loop_
_atom_site_label
_atom_site_fract_x
_atom_site_fract_y
_atom_site_fract_z
Hg1 0.000 0.000 0.000
Hg2 0.500 0.500 0.000
Pt1 0.000 0.500 0.500
Pt2 0.500 0.000 0.500
I1 0.082 0.000 0.419
I2 0.148 0.500 0.063
I3 0.352 0.000 0.937
I4 0.418 0.500 0.581
I5 0.582 0.500 0.419
I6 0.648 0.000 0.063
I7 0.852 0.500 0.937
I8 0.918 0.000 0.581
```

***

A geometry-optimized HgPtI6 structure. Source: Alexandria via LeMat-Bulk, functional PBE-GGA.

Results
E_form (uncorrected)	-76	meV/atom
calculated volume	37.32	Å³/atom
excess energy over the best structure of this formula in the dataset	0.0	meV/atom

The structure in CIF format:
```
data_HgPtI6
_cell_length_a 7.275
_cell_length_b 7.280
_cell_length_c 7.743
_cell_angle_alpha 117.98
_cell_angle_beta 90.03
_cell_angle_gamma 119.97
_space_group_name_H-M_alt 'P 1'
_space_group_IT_number 1
loop_
_space_group_symop_operation_xyz
'x,y,z'
loop_
_atom_site_label
_atom_site_fract_x
_atom_site_fract_y
_atom_site_fract_z
Hg1 0.000 0.000 0.000
Pt1 0.500 0.000 0.500
I1 0.109 0.832 0.263
I2 0.277 0.846 0.737
I3 0.431 0.540 0.263
I4 0.569 0.460 0.737
I5 0.723 0.154 0.263
I6 0.891 0.168 0.737
```

***

A geometry-optimized RbHgPtI2 structure. Source: Alexandria via LeMat-Bulk, functional PBE-GGA.

Results
E_form (uncorrected)	732	meV/atom
calculated volume	49.87	Å³/atom
excess energy over the best structure of this formula in the dataset	1266.0	meV/atom

The structure in CIF format:
```
data_RbHgPtI2
_cell_length_a 6.780
_cell_length_b 6.780
_cell_length_c 5.425
_cell_angle_alpha 90.00
_cell_angle_beta 90.00
_cell_angle_gamma 90.00
_space_group_name_H-M_alt 'P 1'
_space_group_IT_number 1
loop_
_space_group_symop_operation_xyz
'x,y,z'
loop_
_atom_site_label
_atom_site_fract_x
_atom_site_fract_y
_atom_site_fract_z
Rb1 0.000 0.000 0.000
Hg1 0.500 0.500 0.500
Pt1 0.000 0.000 0.500
I1 0.000 0.500 0.000
I2 0.500 0.000 0.000
```

***

A geometry-optimized RbHgPtI2 structure. Source: Alexandria via LeMat-Bulk, functional PBE-GGA.

Results
E_form (uncorrected)	-534	meV/atom
calculated volume	35.17	Å³/atom
excess energy over the best structure of this formula in the dataset	0.0	meV/atom

The structure in CIF format:
```
data_RbHgPtI2
_cell_length_a 5.737
_cell_length_b 5.737
_cell_length_c 5.342
_cell_angle_alpha 90.00
_cell_angle_beta 90.00
_cell_angle_gamma 90.00
_space_group_name_H-M_alt 'P 1'
_space_group_IT_number 1
loop_
_space_group_symop_operation_xyz
'x,y,z'
loop_
_atom_site_label
_atom_site_fract_x
_atom_site_fract_y
_atom_site_fract_z
Rb1 0.000 0.000 0.000
Hg1 0.500 0.500 0.000
Pt1 0.500 0.500 0.500
I1 0.000 0.500 0.500
I2 0.500 0.000 0.500
```

***

A geometry-optimized HgSbPtI2 structure. Source: Alexandria via LeMat-Bulk, functional PBE-GGA.

Results
E_form (uncorrected)	375	meV/atom
calculated volume	32.10	Å³/atom
excess energy over the best structure of this formula in the dataset	214.2	meV/atom

The structure in CIF format:
```
data_HgSbPtI2
_cell_length_a 5.521
_cell_length_b 5.521
_cell_length_c 5.265
_cell_angle_alpha 90.00
_cell_angle_beta 90.00
_cell_angle_gamma 90.00
_space_group_name_H-M_alt 'P 1'
_space_group_IT_number 1
loop_
_space_group_symop_operation_xyz
'x,y,z'
loop_
_atom_site_label
_atom_site_fract_x
_atom_site_fract_y
_atom_site_fract_z
Hg1 0.000 0.000 0.000
Sb1 0.500 0.500 0.000
Pt1 0.000 0.000 0.500
I1 0.000 0.500 0.500
I2 0.500 0.000 0.500
```

***

| no. | magnetization (μB per formula unit) | VASP energy (eV per formula unit) |
| --- | --- | --- |
| 1 | 0.00 | -13.31 |
| 2 | 0.00 | -14.70 |
| 3 | 0.00 | -11.28 |
| 4 | 0.00 | -16.05 |
| 5 | 0.00 | -17.35 |
| 6 | 0.00 | -17.62 |
| 7 | 0.00 | -48.80 |
| 8 | 0.00 | -13.36 |
| 9 | 0.00 | -16.25 |
| 10 | 0.00 | -6.75 |
| 11 | 0.00 | -13.08 |
| 12 | 1.19 | -11.69 |